The following is a DFT calculation (PBE) of a relaxed structure of Tl4OsCl.

Results
Total magnetization in Bohr magnetons per cell: 10.355
ΔE_f (raw) in eV per atom: 0.89

abc: 8.8464 8.8464 8.8464
angles: 90.00 90.00 90.00
Space group F-43m (No. 216)
Unique sites:
Tl 0.1252 0.1252 0.1252 (multiplicity 16)
Os 0.0000 0.0000 0.5000 (multiplicity 4)
Cl 0.2500 0.2500 0.7500 (multiplicity 4)



The following is a DFT calculation (PBE) of a relaxed structure of YCuPtRh.

Results
Energy of formation from the pure elements in eV per atom: -0.53
Total magnetization in Bohr magnetons per cell: 0.000

abc: 6.4985 6.4985 6.4985
angles: 90.00 90.00 90.00
Space group F-43m (No. 216)
Unique sites:
Y 0.0000 0.0000 0.0000 (multiplicity 4)
Cu 0.0000 0.0000 0.5000 (multiplicity 4)
Pt 0.2500 0.2500 0.2500 (multiplicity 4)
Rh 0.2500 0.2500 0.7500 (multiplicity 4)



The following is a DFT calculation (PBE) of a relaxed structure of BeOs3Br.

Results
Total magnetization in Bohr magnetons per cell: 0.000
Energy relative to the lowest polymorph listed for this composition in eV/atom: 0.000
ΔE_f (raw) in eV per atom: 1.62

abc: 4.2179 4.2179 4.2179
angles: 90.00 90.00 90.00
Space group Pm-3m (No. 221)
Unique sites:
Be 0.0000 0.0000 0.0000 (multiplicity 1)
Os 0.0000 0.0000 0.5000 (multiplicity 3)
Br 0.5000 0.5000 0.5000 (multiplicity 1)